Entry from the Alexandria database: crystalline CdAgPt2 at its relaxed geometry (PBE).

Cell: 4.8648 2.8410 4.9576 Å, 88.36 90.00 90.00°
With the nearest neighbours (Å) after each atom.
Positions (direct):
Ag: 0.5000 0.2500 0.2500  4 Cd 2.82-2.89, 4 Pt 2.83, 2 Ag 2.84
Pt: 0.0000 0.4998 0.4984  6 Pt 2.81-2.91, 2 Ag 2.83, 2 Cd 2.83
Pt: 0.0000 0.0002 0.0016  6 Pt 2.81-2.91, 2 Ag 2.83, 2 Cd 2.83
Cd: 0.5000 0.7500 0.7500  4 Ag 2.82-2.89, 4 Pt 2.83, 2 Cd 2.84

---

Entry from the Alexandria database: crystalline Cd2AgPt4 at its relaxed geometry (PBE).

Cell: 4.9029 4.9029 7.5904 Å, 108.84 108.84 90.00°
With the nearest neighbours (Å) after each atom.
Positions (direct):
Pt: 0.1931 0.1931 0.3862  1 Ag 2.61, 1 Cd 2.62
Pt: 0.0000 0.5000 0.0000  2 Ag 2.45
Pt: 0.8069 0.8069 0.6138  1 Ag 2.61, 1 Cd 2.62
Pt: 0.5000 0.0000 0.0000  2 Ag 2.45
Cd: 0.3871 0.3871 0.7741  5 Pt 2.62-2.89
Cd: 0.6129 0.6129 0.2259  5 Pt 2.62-2.89
Ag: 0.0000 0.0000 0.0000  6 Pt 2.45-2.61

## Properties
Energy relative to the lowest polymorph listed for this composition, meV/atom: 901

---

no.,ΔH_f (0 K) (eV/atom),D(E_F) (states/eV/atom)
1,-0.097,0.53
2,0.884,0.67